[1]
Below is a relaxed CsZrPd3 crystal, with properties calculated at the PBE level.

Unit cell a=5.157 b=5.157 c=5.157 alpha=90.00 beta=90.00 gamma=90.00
Site moments in Bohr magnetons follow the coordinates.
Atoms (fractional coordinates):
Cs1 0.000 0.000 0.000  0.05
Pd1 0.500 0.000 0.000  0.07
Zr1 0.500 0.500 0.500  1.06
Pd2 0.000 0.000 0.500  0.06
Pd3 0.000 0.500 0.000  0.04

Computed properties:
Energy above the lowest structure with this stoichiometry (meV per atom): 1193

[2]
Below is a relaxed Cs3ZrPd crystal, with properties calculated at the PBE level.

Unit cell a=6.414 b=6.414 c=6.414 alpha=90.00 beta=90.00 gamma=90.00
Site moments in Bohr magnetons follow the coordinates.
Atoms (fractional coordinates):
Zr1 0.000 0.000 0.000  2.17
Cs1 0.500 0.000 0.000  0.07
Cs2 0.000 0.500 0.000  0.12
Cs3 0.000 0.000 0.500  0.14
Pd1 0.500 0.500 0.500  0.07

Magnetic moment for every record listed, in sequence, given in μB/f.u.: 2.06 4.87.
Formation enthalpy at 0 K for every record listed, in sequence, given in eV per atom: 1.56 1.32.
Raw total energy for every record listed, in sequence, given in eV/atom: -3.433 -1.939.